Entry 1:
Entry from the Alexandria database: an optimized crystal structure of UBIr (GGA-PBE).

Calculated values
Relative energy among the computed polymorphs ... 0.0000 eV per atom
Formation energy ... -0.5 eV/f.u.
N(E_F) ... 3.56 states/eV per cell
Energy ... -9.098 eV/atom

a b c (Å): 2.810 2.810 5.822
angles (deg): 103.97 103.97 90.00
Last column: magnetic moment on the atom in μB.
Sites, in units of the cell vectors:
Ir1 0.904 0.904 0.809  0.04
B1 0.315 0.315 0.630  -0.02
U1 0.631 0.631 0.261  1.51

Entry 2:
Entry from the Alexandria database: an optimized crystal structure of U2ZnB2Ir5 (GGA-PBE).

Calculated values
Formation energy ... -4.2 eV/f.u.
N(E_F) ... 22.07 states/eV per cell
Energy ... -8.576 eV/atom

a b c (Å): 3.331 9.449 9.449
angles (deg): 90.00 90.00 90.00
Last column: magnetic moment on the atom in μB.
Sites, in units of the cell vectors:
Ir1 0.500 0.070 0.781  -0.04
Ir2 0.500 0.000 0.500  -0.05
Ir3 0.500 0.430 0.281  -0.04
Ir4 0.500 0.719 0.430  -0.04
Ir5 0.500 0.570 0.719  -0.04
Ir6 0.500 0.281 0.570  -0.04
Ir7 0.500 0.500 0.000  -0.05
Ir8 0.500 0.930 0.219  -0.04
Ir9 0.500 0.219 0.070  -0.04
Ir10 0.500 0.781 0.930  -0.04
B1 0.000 0.622 0.878  0.01
B2 0.000 0.378 0.122  0.01
B3 0.000 0.122 0.622  0.01
B4 0.000 0.878 0.378  0.01
U1 0.000 0.179 0.321  1.72
U2 0.000 0.821 0.679  1.72
U3 0.000 0.679 0.179  1.72
U4 0.000 0.321 0.821  1.72
Zn1 0.000 0.500 0.500  0.00
Zn2 0.000 0.000 0.000  0.00

Entry 3:
Entry from the Alexandria database: an optimized crystal structure of V3BIr (GGA-PBE).

Calculated values
Relative energy among the computed polymorphs ... 0.0000 eV per atom
Formation energy ... -0.6 eV/f.u.
N(E_F) ... 6.90 states/eV per cell
Energy ... -8.698 eV/atom

a b c (Å): 4.003 4.003 4.003
angles (deg): 90.00 90.00 90.00
Last column: magnetic moment on the atom in μB.
Sites, in units of the cell vectors:
V1 0.000 0.500 0.000  0.18
V2 0.000 0.000 0.500  0.18
V3 0.500 0.000 0.000  0.18
Ir1 0.500 0.500 0.500  0.01
B1 0.000 0.000 0.000  -0.01

Entry 4:
Entry from the Alexandria database: an optimized crystal structure of V2BIr (GGA-PBE).

Calculated values
Formation energy ... 0.6 eV/f.u.
N(E_F) ... 5.44 states/eV per cell
Energy ... -8.287 eV/atom

a b c (Å): 3.821 3.821 4.535
angles (deg): 65.08 65.08 60.00
Sites, in units of the cell vectors:
V1 0.228 0.228 0.315
V2 0.772 0.772 0.685
B1 0.500 0.500 0.500
Ir1 0.000 0.000 0.000